# 1
Compound: MgTe3
Source: Alexandria via LeMat-Bulk
Functional: GGA-PBE
Structure: relaxed

The structure belongs to space group P6_3/mmc (No. 194); the cell edges are 8.3470, 8.3470 and 3.9877 Å and the angles 90.00°, 90.00° and 120.00°. The inequivalent atoms are Mg at (0.3333, 0.6667, 0.2500) and Te at (0.1782, 0.3565, 0.7500).

The calculation puts the volume at 30.08 Å³/atom. The formation energy without anion corrections comes out at -0.10 eV/atom.


# 2
Compound: Si2TcPbO8
Source: Alexandria via LeMat-Bulk
Functional: GGA-PBE
Structure: relaxed

The structure belongs to space group C2/m (No. 12); the cell edges are 8.255, 5.398 and 7.533 Å and the angles 90.00°, 92.05° and 90.00°. The inequivalent atoms are Si at (0.137, 0.000, 0.281), Tc at (0.000, 0.500, 0.500), Pb at (0.000, 0.500, 0.000), O at (0.026, 0.251, 0.315), O at (0.205, 0.000, 0.086) and O at (0.223, 0.500, 0.554).

The calculation puts the volume at 13.98 Å³/atom. The formation energy without anion corrections comes out at -1.88 eV/atom.


# 3
Compound: Dy3GaPb
Source: Alexandria via LeMat-Bulk
Functional: GGA-PBE
Structure: relaxed

The structure belongs to space group Pmmn (No. 59, origin choice 2); the cell edges are 4.594, 7.101 and 8.955 Å and the angles 90.00°, 90.00° and 90.00°. The inequivalent atoms are Dy at (0.250, 0.005, 0.171), Dy at (0.250, 0.250, 0.575), Ga at (0.250, 0.250, 0.896) and Pb at (0.250, 0.750, 0.654).

The calculation puts the volume at 29.21 Å³/atom. Its formation energy is -0.3925 eV/atom.


Calculated calculated total energy, -2.8524; -7.2609; -4.5008 eV per atom (same order as the records).